Density functional theory data (SCAN) for a PBEsol-optimized structure of Mg3TcTe.

a b c (Å): 5.0130 5.0130 5.0130
angles (deg): 90.00 90.00 90.00
Last column: nearest neighbours and their distance in Å.
Fractional coordinates of all 5 atoms:
Mg  0.0000  0.0000  0.5000  2 Tc 2.51
Mg  0.0000  0.5000  0.0000  2 Tc 2.51
Mg  0.5000  0.0000  0.0000  2 Tc 2.51
Tc  0.0000  0.0000  0.0000  6 Mg 2.51
Te  0.5000  0.5000  0.5000  12 Mg 3.54

Computed properties:
M_tot   1.64 μB per cell
D(E_F)   0.74 states/eV per atom
Energy relative to the elements, uncorrected   0.670 eV per atom
Crystal system   cubic